1.
Density functional theory data (PBE) for a geometry-optimized Ni2SnPb2 structure.

CIF file:
```
data_Ni2SnPb2
_symmetry_space_group_name_H-M 'P 4/m b m'
_symmetry_Int_Tables_number 127
_symmetry_space_group_name_Hall '-P 4 2ab'
_cell_length_a 7.030
_cell_length_b 7.030
_cell_length_c 4.173
_cell_angle_alpha 90.00
_cell_angle_beta 90.00
_cell_angle_gamma 90.00
loop_
_atom_site_label
_atom_site_type_symbol
_atom_site_fract_x
_atom_site_fract_y
_atom_site_fract_z
Ni1 Ni 0.131 0.369 0.000
Sn1 Sn 0.000 0.000 0.000
Pb1 Pb 0.165 0.665 0.500
```

***

2.
Density functional theory data (PBE) for a geometry-optimized NiSn3Pb structure.

Computed properties:
The excess energy over the best structure of this formula in the dataset comes out at 0.000 eV per atom.

CIF file:
```
data_NiSn3Pb
_symmetry_space_group_name_H-M 'P m -3 m'
_symmetry_Int_Tables_number 221
_symmetry_space_group_name_Hall '-P 4 2 3'
_cell_length_a 5.076
_cell_length_b 5.076
_cell_length_c 5.076
_cell_angle_alpha 90.00
_cell_angle_beta 90.00
_cell_angle_gamma 90.00
loop_
_atom_site_label
_atom_site_type_symbol
_atom_site_fract_x
_atom_site_fract_y
_atom_site_fract_z
Ni1 Ni 0.000 0.000 0.000
Sn1 Sn 0.000 0.000 0.500
Pb1 Pb 0.500 0.500 0.500
```

***

3.
Density functional theory data (PBE) for a geometry-optimized NiSnPb structure.

CIF file:
```
data_NiSnPb
_symmetry_space_group_name_H-M 'F d d d'
_symmetry_Int_Tables_number 70
_cell_length_a 5.259
_cell_length_b 9.695
_cell_length_c 19.911
_cell_angle_alpha 90.00
_cell_angle_beta 90.00
_cell_angle_gamma 90.00
loop_
_symmetry_equiv_pos_as_xyz
'x,y,z'
'-x,-y,-z'
'-x+1/4,-y+1/4,z'
'x+1/4,y+1/4,-z'
'x,-y+1/4,-z+1/4'
'-x,y+1/4,z+1/4'
'-x+1/4,y,-z+1/4'
'x+1/4,-y,z+1/4'
'x,y+1/2,z+1/2'
'-x,-y+1/2,-z+1/2'
'-x+1/4,-y+3/4,z+1/2'
'x+1/4,y+3/4,-z+1/2'
'x,-y+3/4,-z+3/4'
'-x,y+3/4,z+3/4'
'-x+1/4,y+1/2,-z+3/4'
'x+1/4,-y+1/2,z+3/4'
'x+1/2,y,z+1/2'
'-x+1/2,-y,-z+1/2'
'-x+3/4,-y+1/4,z+1/2'
'x+3/4,y+1/4,-z+1/2'
'x+1/2,-y+1/4,-z+3/4'
'-x+1/2,y+1/4,z+3/4'
'-x+3/4,y,-z+3/4'
'x+3/4,-y,z+3/4'
'x+1/2,y+1/2,z'
'-x+1/2,-y+1/2,-z'
'-x+3/4,-y+3/4,z'
'x+3/4,y+3/4,-z'
'x+1/2,-y+3/4,-z+1/4'
'-x+1/2,y+3/4,z+1/4'
'-x+3/4,y+1/2,-z+1/4'
'x+3/4,-y+1/2,z+1/4'
loop_
_atom_site_label
_atom_site_type_symbol
_atom_site_fract_x
_atom_site_fract_y
_atom_site_fract_z
Ni1 Ni 0.125 0.125 0.004
Sn1 Sn 0.125 0.125 0.540
Pb1 Pb 0.125 0.290 0.125
```

***

| no. | calculated formation energy (meV/atom) | calculated total energy (eV per atom) |
| --- | --- | --- |
| 1 | 153 | -4.444 |
| 2 | 66 | -4.234 |
| 3 | 31 | -4.467 |